Material: Ce2YRhN4
Method: DFT, PBE-GGA
State: relaxed

The calculation puts the formation energy (no corrections) at -1.03 eV/atom.

The space group is Cmcm (No. 63) and the conventional cell measures 3.3841, 11.7948 and 11.8026 Å, with angles of 90.00, 90.00 and 90.00 degrees. The distinct sites, in fractional coordinates, are Ce at (0.0000, 0.1298, 0.0533), Y at (0.0000, 0.3850, 0.2500), Rh at (0.0000, 0.3529, 0.7500), N at (0.0000, 0.0367, 0.2500), N at (0.0000, 0.2245, 0.6227) and N at (0.0000, 0.5000, 0.0000).